This record from Alexandria describes AlCuBrF2 after structural relaxation. The functional is GGA-PBE.

Cell: 3.9137 3.9137 5.4802 Å, 90.00 90.00 90.00°
With the nearest neighbours (Å) after each atom.
Atoms (fractional coordinates):
Al: 0.0000 0.0000 0.0000  2 Cu 2.74, 4 Br 2.77
Cu: 0.0000 0.0000 0.5000  4 F 1.96
Br: 0.5000 0.5000 0.0000  4 Al 2.77
F: 0.0000 0.5000 0.5000  2 Cu 1.96
F: 0.5000 0.0000 0.5000  2 Cu 1.96

Results
Size of the total moment ... 0.00 μB per cell
Space-group type ... P4/mmm
Energy relative to the elements, uncorrected ... -0.976 eV/atom

---

This record from Alexandria describes Rb3PuTh2S6 after structural relaxation. The functional is GGA-PBE.

Cell: 7.2295 7.2295 8.1117 Å, 98.55 98.55 119.99°
With the nearest neighbours (Å) after each atom.
Atoms (fractional coordinates):
Rb: 0.0000 0.0000 0.0000  6 S 3.34-3.37
Rb: 0.3348 0.6652 0.0000  6 S 3.35-3.37
Rb: 0.6652 0.3348 0.0000  6 S 3.35-3.37
Pu: 0.5000 0.5000 0.5000  6 S 2.88
Th: 0.1668 0.8332 0.5000  6 S 2.84
Th: 0.8332 0.1668 0.5000  6 S 2.84
S: 0.0967 0.4340 0.3021  2 Th 2.84, 1 Pu 2.88
S: 0.2284 0.2284 0.6974  2 Th 2.84, 1 Pu 2.88
S: 0.4340 0.0967 0.3021  2 Th 2.84, 1 Pu 2.88
S: 0.5660 0.9033 0.6979  2 Th 2.84, 1 Pu 2.88
S: 0.7716 0.7716 0.3026  2 Th 2.84, 1 Pu 2.88
S: 0.9033 0.5660 0.6979  2 Th 2.84, 1 Pu 2.88

Results
Size of the total moment ... 6.77 μB per cell
Space-group type ... C2/m
Energy relative to the elements, uncorrected ... -1.652 eV/atom

---

This record from Alexandria describes HfTl3Bi3Te8 after structural relaxation. The functional is GGA-PBE.

Cell: 9.6388 9.6388 9.6388 Å, 55.18 55.18 55.18°
With the nearest neighbours (Å) after each atom.
Atoms (fractional coordinates):
Hf: 0.0000 0.0000 0.0000  6 Te 2.94
Tl: 0.0000 0.0000 0.5000  6 Te 3.42-3.44
Tl: 0.0000 0.5000 0.0000  6 Te 3.42-3.44
Tl: 0.5000 0.0000 0.0000  6 Te 3.42-3.44
Bi: 0.0000 0.5000 0.5000  6 Te 3.16
Bi: 0.5000 0.0000 0.5000  6 Te 3.16
Bi: 0.5000 0.5000 0.0000  6 Te 3.16
Te: 0.2249 0.2249 0.7586  1 Hf 2.94, 2 Bi 3.16
Te: 0.2249 0.7586 0.2249  1 Hf 2.94, 2 Bi 3.16
Te: 0.2414 0.7751 0.7751  1 Hf 2.94, 2 Bi 3.16
Te: 0.2588 0.2588 0.2588  3 Bi 3.16, 3 Tl 3.42
Te: 0.7412 0.7412 0.7412  3 Bi 3.16, 3 Tl 3.42
Te: 0.7586 0.2249 0.2249  1 Hf 2.94, 2 Bi 3.16
Te: 0.7751 0.2414 0.7751  1 Hf 2.94, 2 Bi 3.16
Te: 0.7751 0.7751 0.2414  1 Hf 2.94, 2 Bi 3.16

Results
Size of the total moment ... 0.00 μB per cell
Space-group type ... R-3m
Energy relative to the elements, uncorrected ... -0.400 eV/atom

---

This record from Alexandria describes Dy3TmRu3 after structural relaxation. The functional is GGA-PBE.

Cell: 6.7965 6.7965 6.7161 Å, 90.11 90.11 89.34°
With the nearest neighbours (Å) after each atom.
Atoms (fractional coordinates):
Dy: 0.2459 0.7541 0.0000  6 Ru 2.89-2.95
Dy: 0.2466 0.2466 0.0010  6 Ru 2.92-2.93
Dy: 0.2517 0.7483 0.5000  6 Ru 2.93-2.94
Dy: 0.7483 0.2517 0.5000  6 Ru 2.93-2.94
Dy: 0.7534 0.7534 0.9990  6 Ru 2.92-2.93
Dy: 0.7541 0.2459 0.0000  6 Ru 2.89-2.95
Tm: 0.2393 0.2393 0.5009  6 Ru 2.85-2.92
Tm: 0.7607 0.7607 0.4991  6 Ru 2.85-2.92
Ru: 0.0000 0.0000 0.2511  2 Tm 2.85, 6 Dy 2.89-2.93
Ru: 0.0000 0.0000 0.7489  2 Tm 2.85, 6 Dy 2.89-2.93
Ru: 0.0000 0.5000 0.2515  2 Tm 2.91-2.92, 6 Dy 2.92-2.95
Ru: 0.0000 0.5000 0.7485  2 Tm 2.91-2.92, 6 Dy 2.92-2.95
Ru: 0.5000 0.0000 0.2515  2 Tm 2.91-2.92, 6 Dy 2.92-2.95
Ru: 0.5000 0.0000 0.7485  2 Tm 2.91-2.92, 6 Dy 2.92-2.95

Results
Size of the total moment ... 0.00 μB per cell
Formation energy from the elements ... -361 meV per atom
Space-group type ... C2/m

---

This record from Alexandria describes RbInGe2S6 after structural relaxation. The functional is GGA-PBE.

Cell: 9.6087 9.6087 6.7792 Å, 102.28 102.28 96.77°
With the nearest neighbours (Å) after each atom.
Atoms (fractional coordinates):
Rb: 0.1101 0.8899 0.7500  6 S 3.21-3.30
Rb: 0.8899 0.1101 0.2500  6 S 3.21-3.30
In: 0.2395 0.7605 0.2500  4 S 2.44-2.64
In: 0.7605 0.2395 0.7500  4 S 2.44-2.64
Ge: 0.2277 0.3735 0.8323  4 S 2.22-2.33
Ge: 0.3735 0.2277 0.3323  4 S 2.22-2.33
Ge: 0.6265 0.7723 0.6677  4 S 2.22-2.33
Ge: 0.7723 0.6265 0.1677  4 S 2.22-2.33
S: 0.0287 0.2089 0.7422  1 Ge 2.22
S: 0.1678 0.5945 0.9050  1 Ge 2.25, 1 In 2.44
S: 0.2089 0.0287 0.2422  1 Ge 2.22
S: 0.3138 0.4112 0.5481  2 Ge 2.25-2.33
S: 0.4055 0.8322 0.5950  1 Ge 2.25, 1 In 2.44
S: 0.4112 0.3138 0.0481  2 Ge 2.25-2.33
S: 0.5888 0.6862 0.9519  2 Ge 2.25-2.33
S: 0.5945 0.1678 0.4050  1 Ge 2.25, 1 In 2.44
S: 0.6862 0.5888 0.4519  2 Ge 2.25-2.33
S: 0.7911 0.9713 0.7578  1 Ge 2.22
S: 0.8322 0.4055 0.0950  1 Ge 2.25, 1 In 2.44
S: 0.9713 0.7911 0.2578  1 Ge 2.22

Results
Size of the total moment ... 0.00 μB per cell
Space-group type ... C2/c
Energy relative to the elements, uncorrected ... -0.450 eV/atom

---

This record from Alexandria describes MnFe2RuN after structural relaxation. The functional is GGA-PBE.

Cell: 3.8037 3.8037 4.0494 Å, 90.00 90.00 90.00°
With the nearest neighbours (Å) after each atom.
Atoms (fractional coordinates):
Mn: 0.0000 0.0000 0.0000  4 Ru 2.69, 8 Fe 2.78
Fe: 0.0000 0.5000 0.5000  2 N 1.90
Fe: 0.5000 0.0000 0.5000  2 N 1.90
Ru: 0.5000 0.5000 0.0000  2 N 2.02
N: 0.5000 0.5000 0.5000  4 Fe 1.90, 2 Ru 2.02

Results
Size of the total moment ... 7.95 μB per cell
Space-group type ... P4/mmm
Energy relative to the elements, uncorrected ... 0.076 eV/atom

---

This record from Alexandria describes Cs2PaInI6 after structural relaxation. The functional is GGA-PBE.

Cell: 15.6450 15.6450 15.6450 Å, 33.70 33.70 33.70°
With the nearest neighbours (Å) after each atom.
Atoms (fractional coordinates):
Cs: 0.1278 0.1278 0.1278  9 I 4.10-4.54
Cs: 0.2838 0.2838 0.2838  12 I 4.37-4.83
Cs: 0.7162 0.7162 0.7162  12 I 4.37-4.83
Cs: 0.8722 0.8722 0.8722  9 I 4.10-4.54
Pa: 0.0000 0.0000 0.0000  6 I 3.08
Pa: 0.5000 0.5000 0.5000  6 I 3.19, 2 In 3.47
In: 0.4214 0.4214 0.4214  6 I 3.37-3.45, 1 Pa 3.47
In: 0.5786 0.5786 0.5786  6 I 3.37-3.45, 1 Pa 3.47
I: 0.1111 0.6415 0.6415  1 Pa 3.19, 1 In 3.37
I: 0.1999 0.1999 0.7219  1 Pa 3.08, 1 In 3.45
I: 0.1999 0.7219 0.1999  1 Pa 3.08, 1 In 3.45
I: 0.2781 0.8001 0.8001  1 Pa 3.08, 1 In 3.45
I: 0.3585 0.3585 0.8889  1 Pa 3.19, 1 In 3.37
I: 0.3585 0.8889 0.3585  1 Pa 3.19, 1 In 3.37
I: 0.6415 0.1111 0.6415  1 Pa 3.19, 1 In 3.37
I: 0.6415 0.6415 0.1111  1 Pa 3.19, 1 In 3.37
I: 0.7219 0.1999 0.1999  1 Pa 3.08, 1 In 3.45
I: 0.8001 0.2781 0.8001  1 Pa 3.08, 1 In 3.45
I: 0.8001 0.8001 0.2781  1 Pa 3.08, 1 In 3.45
I: 0.8889 0.3585 0.3585  1 Pa 3.19, 1 In 3.37

Results
Size of the total moment ... 4.00 μB per cell
Space-group type ... R-3m
Energy relative to the elements, uncorrected ... -1.030 eV/atom

---

This record from Alexandria describes CaTiP2 after structural relaxation. The functional is GGA-PBE.

Cell: 6.8475 6.8475 6.8475 Å, 31.36 31.36 31.36°
With the nearest neighbours (Å) after each atom.
Atoms (fractional coordinates):
Ca: 0.0000 0.0000 0.0000  6 P 2.85
Ti: 0.5000 0.5000 0.5000  6 P 2.54
P: 0.2369 0.2369 0.2369  3 Ti 2.54
P: 0.7631 0.7631 0.7631  3 Ti 2.54

Results
Size of the total moment ... 0.00 μB per cell
Formation energy from the elements ... -1074 meV per atom
Space-group type ... R-3m